The following is a DFT calculation (GGA-PBE) of crystalline VZn2Ge at its relaxed geometry.

```
VZn2Ge
1.0
-2.089 3.554 -5.872
1.733 -5.666 -4.046
-2.502 -1.964 -4.682
Ge Zn V
2 4 2
Direct
0.000 0.000 0.000
0.750 0.250 0.500
0.636 0.125 0.250
0.114 0.625 0.250
0.375 0.364 0.750
0.875 0.886 0.750
0.500 0.500 0.000
0.250 0.750 0.500
```

* VASP energy: -30.4 eV for the cell shown
* ΔE_f: 0.277 eV per atom
* volume: 129.2 Å³ per cell